No. 1
SnC3Cl | PBE-GGA | optimized geometry

Values from the calculation:
Volume = 62.61 Å³ per cell
Total magnetic moment = 0.0 μB per cell
Relative energy among the computed polymorphs = 33 kJ/mol of formula units
Formation energy (no corrections) = 3.172 eV per atom

a = 3.971 Å, b = 3.971 Å, c = 3.971 Å
α = 90.00°, β = 90.00°, γ = 90.00°
Atoms (fractional coordinates):
Sn 0.000 0.000 0.000
C 0.000 0.500 0.500
C 0.500 0.000 0.500
C 0.500 0.500 0.000
Cl 0.500 0.500 0.500

---

No. 2
SnC3Cl | PBE-GGA | optimized geometry

Values from the calculation:
Volume = 86.28 Å³ per cell
Total magnetic moment = 2.8 μB per cell
Relative energy among the computed polymorphs = 0 kJ/mol of formula units
Formation energy (no corrections) = 3.103 eV per atom

a = 4.419 Å, b = 4.419 Å, c = 4.419 Å
α = 90.00°, β = 90.00°, γ = 90.00°
Atoms (fractional coordinates):
Sn 0.000 0.000 0.000
C 0.000 0.000 0.500
C 0.000 0.500 0.000
C 0.500 0.000 0.000
Cl 0.500 0.500 0.500

---

No. 3
SnC2Cl2 | PBE-GGA | optimized geometry

Values from the calculation:
Volume = 345.35 Å³ per cell
Total magnetic moment = 0.0 μB per cell
Relative energy among the computed polymorphs = 131 kJ/mol of formula units
Formation energy (no corrections) = 0.176 eV per atom

a = 8.417 Å, b = 8.417 Å, c = 8.417 Å
α = 115.28°, β = 79.70°, γ = 138.75°
Atoms (fractional coordinates):
Sn 0.252 0.002 0.250
Sn 0.748 0.998 0.750
C 0.445 0.002 0.057
C 0.445 0.387 0.443
C 0.555 0.613 0.557
C 0.555 0.998 0.943
Cl 0.128 0.235 0.894
Cl 0.159 0.765 0.394
Cl 0.841 0.235 0.606
Cl 0.872 0.765 0.106

---

No. 4
SnC2Cl2 | PBE-GGA | optimized geometry

Values from the calculation:
Volume = 302.12 Å³ per cell
Total magnetic moment = 0.0 μB per cell
Relative energy among the computed polymorphs = 0 kJ/mol of formula units
Formation energy (no corrections) = -0.097 eV per atom

a = 8.098 Å, b = 8.098 Å, c = 8.098 Å
α = 142.99°, β = 91.48°, γ = 100.12°
Atoms (fractional coordinates):
Sn 0.388 0.138 0.250
Sn 0.612 0.862 0.750
C 0.000 0.127 0.627
C 0.000 0.373 0.873
C 0.000 0.627 0.127
C 0.000 0.873 0.373
Cl 0.260 0.652 0.608
Cl 0.456 0.348 0.108
Cl 0.544 0.652 0.892
Cl 0.740 0.348 0.392

---

No. 5
SrSn2CCl | PBE-GGA | optimized geometry

Values from the calculation:
Volume = 179.21 Å³ per cell
Total magnetic moment = 0.0 μB per cell
Formation energy (no corrections) = 1.411 eV per atom

a = 6.318 Å, b = 6.318 Å, c = 4.490 Å
α = 90.00°, β = 90.00°, γ = 90.00°
Atoms (fractional coordinates):
Sr 0.000 0.000 0.000
Sn 0.000 0.500 0.000
Sn 0.500 0.000 0.000
C 0.000 0.000 0.500
Cl 0.500 0.500 0.500

---

No. 6
ZrSnCCl2 | PBE-GGA | optimized geometry

Values from the calculation:
Volume = 99.92 Å³ per cell
Total magnetic moment = 0.0 μB per cell
Formation energy (no corrections) = 0.615 eV per atom

a = 4.563 Å, b = 4.563 Å, c = 4.798 Å
α = 90.00°, β = 90.00°, γ = 90.00°
Atoms (fractional coordinates):
Zr 0.000 0.000 0.000
Sn 0.500 0.500 0.000
C 0.000 0.000 0.500
Cl 0.000 0.500 0.500
Cl 0.500 0.000 0.500

---

No. 7
Sr2C2Cl | PBE-GGA | optimized geometry

Values from the calculation:
Volume = 239.47 Å³ per cell
Total magnetic moment = 0.0 μB per cell
Formation energy (no corrections) = -0.676 eV per atom

a = 6.980 Å, b = 4.763 Å, c = 7.221 Å
α = 90.00°, β = 93.96°, γ = 90.00°
Atoms (fractional coordinates):
Sr 0.167 0.000 0.292
Sr 0.333 0.500 0.708
Sr 0.667 0.500 0.292
Sr 0.833 0.000 0.708
C 0.000 0.365 0.500
C 0.000 0.635 0.500
C 0.500 0.135 0.500
C 0.500 0.865 0.500
Cl 0.000 0.500 0.000
Cl 0.500 0.000 0.000

---

No. 8
Sr2CCl | PBE-GGA | optimized geometry

Values from the calculation:
Volume = 475.13 Å³ per cell
Total magnetic moment = 4.0 μB per cell
Formation energy (no corrections) = -0.375 eV per atom

a = 7.159 Å, b = 7.159 Å, c = 9.270 Å
α = 90.00°, β = 90.00°, γ = 90.00°
Atoms (fractional coordinates):
Sr 0.196 0.250 0.125
Sr 0.250 0.696 0.375
Sr 0.250 0.804 0.875
Sr 0.304 0.250 0.625
Sr 0.696 0.750 0.625
Sr 0.750 0.196 0.875
Sr 0.750 0.304 0.375
Sr 0.804 0.750 0.125
C 0.000 0.000 0.000
C 0.000 0.500 0.250
C 0.500 0.000 0.750
C 0.500 0.500 0.500
Cl 0.000 0.000 0.500
Cl 0.000 0.500 0.750
Cl 0.500 0.000 0.250
Cl 0.500 0.500 0.000

---

No. 9
Sr3CCl | PBE-GGA | optimized geometry

Values from the calculation:
Volume = 164.53 Å³ per cell
Total magnetic moment = 0.0 μB per cell
Relative energy among the computed polymorphs = 0 kJ/mol of formula units
Formation energy (no corrections) = -0.203 eV per atom

a = 5.480 Å, b = 5.480 Å, c = 5.480 Å
α = 90.00°, β = 90.00°, γ = 90.00°
Atoms (fractional coordinates):
Sr 0.000 0.000 0.500
Sr 0.000 0.500 0.000
Sr 0.500 0.000 0.000
C 0.000 0.000 0.000
Cl 0.500 0.500 0.500

---

No. 10
SrCCl3 | PBE-GGA | optimized geometry

Values from the calculation:
Volume = 184.40 Å³ per cell
Total magnetic moment = 1.0 μB per cell
Relative energy among the computed polymorphs = 245 kJ/mol of formula units
Formation energy (no corrections) = 0.246 eV per atom

a = 5.692 Å, b = 5.692 Å, c = 5.692 Å
α = 90.00°, β = 90.00°, γ = 90.00°
Atoms (fractional coordinates):
Sr 0.000 0.000 0.000
C 0.500 0.500 0.500
Cl 0.000 0.000 0.500
Cl 0.000 0.500 0.000
Cl 0.500 0.000 0.000

---

No. 11
SrC3Cl | PBE-GGA | optimized geometry

Values from the calculation:
Volume = 73.59 Å³ per cell
Total magnetic moment = 0.8 μB per cell
Relative energy among the computed polymorphs = 0 kJ/mol of formula units
Formation energy (no corrections) = 2.684 eV per atom

a = 4.191 Å, b = 4.191 Å, c = 4.191 Å
α = 90.00°, β = 90.00°, γ = 90.00°
Atoms (fractional coordinates):
Sr 0.000 0.000 0.000
C 0.000 0.500 0.500
C 0.500 0.000 0.500
C 0.500 0.500 0.000
Cl 0.500 0.500 0.500

---

No. 12
SrCCl3 | PBE-GGA | optimized geometry

Values from the calculation:
Volume = 102.70 Å³ per cell
Total magnetic moment = 0.0 μB per cell
Relative energy among the computed polymorphs = 0 kJ/mol of formula units
Formation energy (no corrections) = -0.261 eV per atom

a = 4.683 Å, b = 4.683 Å, c = 4.683 Å
α = 90.00°, β = 90.00°, γ = 90.00°
Atoms (fractional coordinates):
Sr 0.000 0.000 0.000
C 0.500 0.500 0.500
Cl 0.000 0.500 0.500
Cl 0.500 0.000 0.500
Cl 0.500 0.500 0.000